No. 1
# LaCd3N (GGA-PBE, relaxed)
# final energy = -1.60 eV/atom
# E above lowest polymorph = 5.75 eV/f.u.
# magnetic moment = 0.53 μB/f.u.
# E_form (uncorrected) = 1.596 eV/atom
# density of states at the Fermi level = 7.53 states/eV/cell
data_LaCd3N
_space_group_name_H-M_alt 'P m -3 m'
_space_group_IT_number 221
_space_group_name_Hall '-P 4 2 3'
_cell_length_a 6.479
_cell_length_b 6.479
_cell_length_c 6.479
_cell_angle_alpha 90.00
_cell_angle_beta 90.00
_cell_angle_gamma 90.00
loop_
_atom_site_label
_atom_site_type_symbol
_atom_site_fract_x
_atom_site_fract_y
_atom_site_fract_z
La1 La 0.000 0.000 0.000
Cd1 Cd 0.000 0.000 0.500
N1 N 0.500 0.500 0.500



No. 2
# LaCdN2 (GGA-PBE, relaxed)
# final energy = -5.74 eV/atom
# magnetic moment = 1.00 μB/f.u.
# E_form (uncorrected) = -0.121 eV/atom
# density of states at the Fermi level = 2.20 states/eV/cell
data_LaCdN2
_space_group_name_H-M_alt 'I -4 2 d'
_space_group_IT_number 122
_space_group_name_Hall 'I -4 2bw'
_cell_length_a 5.166
_cell_length_b 5.166
_cell_length_c 11.566
_cell_angle_alpha 90.00
_cell_angle_beta 90.00
_cell_angle_gamma 90.00
loop_
_atom_site_label
_atom_site_type_symbol
_atom_site_fract_x
_atom_site_fract_y
_atom_site_fract_z
La1 La 0.000 0.000 0.000
Cd1 Cd 0.000 0.000 0.500
N1 N 0.238 0.250 0.625



No. 3
# La12Cd3N5 (GGA-PBE, relaxed)
# final energy = -5.87 eV/atom
# magnetic moment = 0.00 μB/f.u.
# E_form (uncorrected) = -0.697 eV/atom
# density of states at the Fermi level = 135.44 states/eV/cell
data_La12Cd3N5
_space_group_name_H-M_alt 'I a -3 d'
_space_group_IT_number 230
_space_group_name_Hall '-I 4bd 2c 3'
_cell_length_a 16.586
_cell_length_b 16.586
_cell_length_c 16.586
_cell_angle_alpha 90.00
_cell_angle_beta 90.00
_cell_angle_gamma 90.00
loop_
_atom_site_label
_atom_site_type_symbol
_atom_site_fract_x
_atom_site_fract_y
_atom_site_fract_z
La1 La 0.040 0.048 0.647
Cd1 Cd 0.000 0.250 0.125
N1 N 0.000 0.000 0.000
N2 N 0.000 0.250 0.375



No. 4
# LaCd2N (GGA-PBE, relaxed)
# final energy = -3.83 eV/atom
# magnetic moment = 0.00 μB/f.u.
# E_form (uncorrected) = -0.062 eV/atom
# density of states at the Fermi level = 5.40 states/eV/cell
data_LaCd2N
_space_group_name_H-M_alt 'I -4 2 d'
_space_group_IT_number 122
_space_group_name_Hall 'I -4 2bw'
_cell_length_a 8.606
_cell_length_b 8.606
_cell_length_c 4.943
_cell_angle_alpha 90.00
_cell_angle_beta 90.00
_cell_angle_gamma 90.00
loop_
_atom_site_label
_atom_site_type_symbol
_atom_site_fract_x
_atom_site_fract_y
_atom_site_fract_z
La1 La 0.000 0.000 0.000
Cd1 Cd 0.172 0.250 0.625
N1 N 0.000 0.000 0.500



No. 5
# La6CdN (GGA-PBE, relaxed)
# final energy = -5.25 eV/atom
# magnetic moment = 0.00 μB/f.u.
# E_form (uncorrected) = -0.401 eV/atom
# density of states at the Fermi level = 9.33 states/eV/cell
data_La6CdN
_space_group_name_H-M_alt 'P -1'
_space_group_IT_number 2
_space_group_name_Hall '-P 1'
_cell_length_a 6.373
_cell_length_b 6.376
_cell_length_c 6.377
_cell_angle_alpha 99.96
_cell_angle_beta 100.03
_cell_angle_gamma 99.94
loop_
_atom_site_label
_atom_site_type_symbol
_atom_site_fract_x
_atom_site_fract_y
_atom_site_fract_z
La1 La 0.067 0.275 0.164
La2 La 0.226 0.836 0.433
La3 La 0.336 0.433 0.726
Cd1 Cd 0.500 0.000 0.000
N1 N 0.000 0.500 0.500



No. 6
# La4CdN (GGA-PBE, relaxed)
# final energy = -5.31 eV/atom
# E above lowest polymorph = 0.26 eV/f.u.
# magnetic moment = 0.00 μB/f.u.
# E_form (uncorrected) = -0.481 eV/atom
# density of states at the Fermi level = 25.21 states/eV/cell
data_La4CdN
_space_group_name_H-M_alt 'C 1 2/c 1'
_space_group_IT_number 15
_space_group_name_Hall '-C 2yc'
_cell_length_a 8.765
_cell_length_b 14.753
_cell_length_c 6.319
_cell_angle_alpha 90.00
_cell_angle_beta 117.24
_cell_angle_gamma 90.00
loop_
_atom_site_label
_atom_site_type_symbol
_atom_site_fract_x
_atom_site_fract_y
_atom_site_fract_z
La1 La 0.132 0.199 0.133
La2 La 0.205 0.048 0.676
Cd1 Cd 0.000 0.387 0.750
N1 N 0.000 0.073 0.250



No. 7
# LaCd3N (GGA-PBE, relaxed)
# final energy = -2.75 eV/atom
# E above lowest polymorph = 0.00 eV/f.u.
# magnetic moment = 0.00 μB/f.u.
# E_form (uncorrected) = 0.446 eV/atom
# density of states at the Fermi level = 5.43 states/eV/cell
data_LaCd3N
_space_group_name_H-M_alt 'P m -3 m'
_space_group_IT_number 221
_space_group_name_Hall '-P 4 2 3'
_cell_length_a 4.868
_cell_length_b 4.868
_cell_length_c 4.868
_cell_angle_alpha 90.00
_cell_angle_beta 90.00
_cell_angle_gamma 90.00
loop_
_atom_site_label
_atom_site_type_symbol
_atom_site_fract_x
_atom_site_fract_y
_atom_site_fract_z
La1 La 0.000 0.000 0.000
Cd1 Cd 0.000 0.500 0.500
N1 N 0.500 0.500 0.500



No. 8
# LaCdN2 (GGA-PBE, relaxed)
# final energy = -5.80 eV/atom
# magnetic moment = 1.00 μB/f.u.
# E_form (uncorrected) = -0.176 eV/atom
# density of states at the Fermi level = 9.31 states/eV/cell
data_LaCdN2
_space_group_name_H-M_alt 'R -3 m'
_space_group_IT_number 166
_space_group_name_Hall '-R 3 2"'
_cell_length_a 3.9031
_cell_length_b 3.9031
_cell_length_c 19.0581
_cell_angle_alpha 90.00
_cell_angle_beta 90.00
_cell_angle_gamma 120.00
loop_
_atom_site_label
_atom_site_type_symbol
_atom_site_fract_x
_atom_site_fract_y
_atom_site_fract_z
La1 La 0.0000 0.0000 0.0000
Cd1 Cd 0.0000 0.0000 0.5000
N1 N 0.0000 0.0000 0.3929



No. 9
# LaCdN3 (GGA-PBE, relaxed)
# final energy = -5.30 eV/atom
# magnetic moment = 0.00 μB/f.u.
# E_form (uncorrected) = 0.861 eV/atom
# density of states at the Fermi level = 4.41 states/eV/cell
data_LaCdN3
_space_group_name_H-M_alt 'P m -3 m'
_space_group_IT_number 221
_space_group_name_Hall '-P 4 2 3'
_cell_length_a 4.161
_cell_length_b 4.161
_cell_length_c 4.161
_cell_angle_alpha 90.00
_cell_angle_beta 90.00
_cell_angle_gamma 90.00
loop_
_atom_site_label
_atom_site_type_symbol
_atom_site_fract_x
_atom_site_fract_y
_atom_site_fract_z
La1 La 0.000 0.000 0.000
Cd1 Cd 0.500 0.500 0.500
N1 N 0.000 0.500 0.500



No. 10
# La4CdN (GGA-PBE, relaxed)
# final energy = -5.35 eV/atom
# E above lowest polymorph = 0.00 eV/f.u.
# magnetic moment = 0.00 μB/f.u.
# E_form (uncorrected) = -0.525 eV/atom
# density of states at the Fermi level = 24.36 states/eV/cell
data_La4CdN
_space_group_name_H-M_alt 'C 1 2/c 1'
_space_group_IT_number 15
_space_group_name_Hall '-C 2yc'
_cell_length_a 15.213
_cell_length_b 6.420
_cell_length_c 7.194
_cell_angle_alpha 90.00
_cell_angle_beta 105.69
_cell_angle_gamma 90.00
loop_
_atom_site_label
_atom_site_type_symbol
_atom_site_fract_x
_atom_site_fract_y
_atom_site_fract_z
La1 La 0.098 0.094 0.467
La2 La 0.197 0.424 0.160
Cd1 Cd 0.000 0.408 0.750
N1 N 0.250 0.250 0.500



No. 11
# LaCdN3 (GGA-PBE, relaxed)
# final energy = -4.81 eV/atom
# magnetic moment = 0.00 μB/f.u.
# E_form (uncorrected) = 1.353 eV/atom
# density of states at the Fermi level = 5.63 states/eV/cell
data_LaCdN3
_space_group_name_H-M_alt 'P m -3 m'
_space_group_IT_number 221
_space_group_name_Hall '-P 4 2 3'
_cell_length_a 4.325
_cell_length_b 4.325
_cell_length_c 4.325
_cell_angle_alpha 90.00
_cell_angle_beta 90.00
_cell_angle_gamma 90.00
loop_
_atom_site_label
_atom_site_type_symbol
_atom_site_fract_x
_atom_site_fract_y
_atom_site_fract_z
La1 La 0.000 0.000 0.000
Cd1 Cd 0.500 0.500 0.500
N1 N 0.000 0.000 0.500



No. 12
# LaCdN2 (GGA-PBE, relaxed)
# final energy = -4.91 eV/atom
# magnetic moment = 0.62 μB/f.u.
# E_form (uncorrected) = 0.714 eV/atom
# density of states at the Fermi level = 6.15 states/eV/cell
data_LaCdN2
_space_group_name_H-M_alt 'R -3 m'
_space_group_IT_number 166
_space_group_name_Hall '-R 3 2"'
_cell_length_a 3.8466
_cell_length_b 3.8466
_cell_length_c 18.6198
_cell_angle_alpha 90.00
_cell_angle_beta 90.00
_cell_angle_gamma 120.00
loop_
_atom_site_label
_atom_site_type_symbol
_atom_site_fract_x
_atom_site_fract_y
_atom_site_fract_z
La1 La 0.0000 0.0000 0.0000
Cd1 Cd 0.0000 0.0000 0.5000
N1 N 0.0000 0.0000 0.1090